# 1
Here is crystalline YAg3Bi at its relaxed geometry from Alexandria via LeMat-Bulk. Energies are from PBE.

Cell: 5.319 5.319 5.319 Å, 90.00 90.00 90.00°
Fractional coordinates of all 5 atoms:
Y1 0.500 0.500 0.500
Bi1 0.000 0.000 0.000
Ag1 0.000 0.500 0.000
Ag2 0.000 0.000 0.500
Ag3 0.500 0.000 0.000

Summary:
SG: Pm-3m (221)
ΔE to the lowest computed polymorph in kJ per mole of atoms: 0.0
E_form in kJ/mol of atoms: 51

# 2
Here is crystalline Be2PCl at its relaxed geometry from Alexandria via LeMat-Bulk. Energies are from PBE.

Cell: 4.255 4.255 4.255 Å, 60.00 60.00 60.00°
Fractional coordinates of all 4 atoms:
P1 0.000 0.000 0.000
Be1 0.250 0.250 0.250
Be2 0.750 0.750 0.750
Cl1 0.500 0.500 0.500

Summary:
SG: Fm-3m (225)
Formation energy (no corrections) in kJ/mol of formula units: 251
ΔE to the lowest computed polymorph in kJ per mole of atoms: 112.7

# 3
Here is crystalline LaFeW2 at its relaxed geometry from Alexandria via LeMat-Bulk. Energies are from PBE.

Cell: 9.860 9.860 9.860 Å, 17.04 17.04 17.04°
Site moments in Bohr magnetons follow the coordinates.
Fractional coordinates of all 4 atoms:
Fe1 0.250 0.250 0.250  1.82
La1 0.750 0.750 0.750  -0.11
W1 0.985 0.985 0.985  -0.08
W2 0.515 0.515 0.515  -0.08

Summary:
SG: R-3m (166)
ΔE to the lowest computed polymorph in kJ per mole of atoms: 26.7
E_form in kJ/mol of atoms: 75

# 4
Here is crystalline Pr2CuSn3 at its relaxed geometry from Alexandria via LeMat-Bulk. Energies are from PBE.

Cell: 4.373 4.611 8.004 Å, 90.00 90.00 90.00°
Fractional coordinates of all 6 atoms:
Pr1 0.000 0.500 0.006
Pr2 0.000 0.000 0.504
Cu1 0.500 0.500 0.318
Sn1 0.500 0.000 0.843
Sn2 0.500 0.000 0.195
Sn3 0.500 0.500 0.634

Summary:
SG: Pmm2 (25)
ΔE to the lowest computed polymorph in kJ per mole of atoms: 3.0
E_form in kJ/mol of atoms: -51

# 5
Here is crystalline Cs2HgGeCl6 at its relaxed geometry from Alexandria via LeMat-Bulk. Energies are from PBE.

Cell: 7.589 7.589 7.590 Å, 60.01 60.01 90.00°
Fractional coordinates of all 10 atoms:
Cs1 0.750 0.250 0.500
Cs2 0.250 0.750 0.500
Ge1 0.500 0.500 0.000
Hg1 0.000 0.000 0.000
Cl1 0.254 0.254 0.492
Cl2 0.746 0.746 0.508
Cl3 0.254 0.254 0.000
Cl4 0.746 0.746 0.000
Cl5 0.746 0.254 0.000
Cl6 0.254 0.746 0.000

Summary:
SG: Fm-3m (225)
Formation energy (no corrections) in kJ/mol of formula units: -1207

# 6
Here is crystalline HfAlP3 at its relaxed geometry from Alexandria via LeMat-Bulk. Energies are from PBE.

Cell: 4.563 4.563 4.563 Å, 90.00 90.00 90.00°
Fractional coordinates of all 5 atoms:
P1 0.000 0.500 0.000
P2 0.000 0.000 0.500
P3 0.500 0.000 0.000
Hf1 0.500 0.500 0.500
Al1 0.000 0.000 0.000

Summary:
SG: Pm-3m (221)
ΔE to the lowest computed polymorph in kJ per mole of atoms: 5.7
E_form in kJ/mol of atoms: 47

# 7
Here is crystalline Dy3NiBi at its relaxed geometry from Alexandria via LeMat-Bulk. Energies are from PBE.

Cell: 5.109 6.620 9.715 Å, 114.54 90.00 112.70°
Fractional coordinates of all 10 atoms:
Dy1 0.874 0.747 0.746
Dy2 0.126 0.253 0.254
Dy3 0.633 0.267 0.940
Dy4 0.367 0.733 0.060
Dy5 0.866 0.733 0.323
Dy6 0.134 0.267 0.677
Ni1 0.111 0.223 0.965
Ni2 0.889 0.777 0.035
Bi1 0.395 0.791 0.569
Bi2 0.605 0.209 0.431

Summary:
SG: C2/m (12)
ΔE to the lowest computed polymorph in kJ per mole of atoms: 0.0
E_form in kJ/mol of atoms: -42

# 8
Here is crystalline Zr5BeRu4 at its relaxed geometry from Alexandria via LeMat-Bulk. Energies are from PBE.

Cell: 3.273 3.273 16.191 Å, 90.00 90.00 90.00°
Fractional coordinates of all 10 atoms:
Zr1 0.500 0.500 0.095
Zr2 0.500 0.500 0.297
Zr3 0.500 0.500 0.500
Zr4 0.500 0.500 0.703
Zr5 0.500 0.500 0.905
Be1 0.000 0.000 0.000
Ru1 0.000 0.000 0.195
Ru2 0.000 0.000 0.398
Ru3 0.000 0.000 0.602
Ru4 0.000 0.000 0.805

Summary:
SG: P4/mmm (123)
E_form in kJ/mol of atoms: -51

# 9
Here is crystalline TiV6Ga at its relaxed geometry from Alexandria via LeMat-Bulk. Energies are from PBE.

Cell: 4.202 5.304 5.304 Å, 108.94 90.00 90.00°
Fractional coordinates of all 8 atoms:
Ti1 0.500 0.366 0.634
V1 0.000 0.111 0.368
V2 0.000 0.632 0.889
V3 0.000 0.623 0.377
V4 0.500 0.411 0.154
V5 0.500 0.846 0.589
V6 0.500 0.885 0.115
Ga1 0.000 0.125 0.875

Summary:
SG: Amm2 (38)
E_form in kJ/mol of atoms: -5

# 10
Here is crystalline PuVTc2 at its relaxed geometry from Alexandria via LeMat-Bulk. Energies are from PBE.

Cell: 3.169 4.542 4.542 Å, 90.00 90.00 90.00°
Site moments in Bohr magnetons follow the coordinates.
Fractional coordinates of all 4 atoms:
V1 0.500 0.000 0.000  0.70
Tc1 0.000 0.000 0.500  -0.55
Tc2 0.000 0.500 0.000  -0.55
Pu1 0.500 0.500 0.500  4.09

Summary:
SG: P4/mmm (123)
ΔE to the lowest computed polymorph in kJ per mole of atoms: 4.1
E_form in kJ/mol of atoms: 2

# 11
Here is crystalline PrSiAu at its relaxed geometry from Alexandria via LeMat-Bulk. Energies are from PBE.

Cell: 4.069 4.359 7.748 Å, 90.00 90.00 90.00°
Fractional coordinates of all 6 atoms:
Pr1 0.312 0.716 0.128
Pr2 0.312 0.216 0.665
Si1 0.812 0.216 0.967
Si2 0.812 0.716 0.826
Au1 0.812 0.216 0.288
Au2 0.812 0.716 0.505

Summary:
SG: Pmma (51)
Formation energy (no corrections) in kJ/mol of formula units: -207

# 12
Here is crystalline Zn2InAu at its relaxed geometry from Alexandria via LeMat-Bulk. Energies are from PBE.

Cell: 9.063 9.063 9.063 Å, 19.92 19.92 19.92°
Fractional coordinates of all 4 atoms:
Au1 0.250 0.250 0.250
In1 0.750 0.750 0.750
Zn1 0.993 0.993 0.993
Zn2 0.507 0.507 0.507

Summary:
SG: R-3m (166)
E_form in kJ/mol of atoms: -1